(1)
This record from the Alexandria database describes crystalline Mg2AlReO6 at its relaxed geometry. The functional is PBE-GGA.

Computed properties:
Crystal system: tetragonal

```
Mg2AlReO6
1.0
4.786 0.000 0.000
0.000 5.073 0.000
0.000 0.000 5.073
Mg O Al Re
2 6 1 1
Direct
0.950 0.000 0.500
0.950 0.500 0.000
0.740 0.251 0.749
0.740 0.749 0.749
0.740 0.251 0.251
0.740 0.749 0.251
0.229 0.000 0.000
0.202 0.500 0.500
0.594 0.000 0.000
0.563 0.500 0.500
```

=====

(2)
This record from the Alexandria database describes crystalline MgAlReO6 at its relaxed geometry. The functional is PBE-GGA.

Computed properties:
Crystal system: trigonal

```
MgAlReO6
1.0
-3.907 0.919 -2.905
4.158 -1.853 -1.955
-3.085 -8.473 1.469
Al O Re Mg
2 12 2 2
Direct
0.333 0.667 0.750
0.667 0.333 0.250
0.356 0.357 0.364
0.999 0.643 0.864
0.999 0.356 0.636
0.643 0.999 0.364
0.001 0.644 0.364
0.001 0.357 0.136
0.644 0.643 0.636
0.644 0.001 0.864
0.356 0.999 0.136
0.357 0.356 0.864
0.357 0.001 0.636
0.643 0.644 0.136
0.333 0.667 0.250
0.667 0.333 0.750
0.000 0.000 0.000
0.000 0.000 0.500
```

=====

no.,uncorrected formation energy (kJ per mole of atoms)
1,-192.3
2,-208.2